No. 1
A plane-wave DFT calculation with GGA-PBE was carried out for an optimized crystal structure of Ba2TlTc.

Summary:
Formation energy from the elements: 2.192 eV per formula unit
M_tot: 1.76 μB/f.u.
Energy relative to the lowest polymorph listed for this composition: 154 meV per atom
DFT total energy: -3.596 eV per atom

CIF file:
```
data_Ba2TlTc
_symmetry_space_group_name_H-M 'P m m m'
_symmetry_Int_Tables_number 47
_symmetry_space_group_name_Hall '-P 2 2'
_cell_length_a 3.7292
_cell_length_b 4.1869
_cell_length_c 8.6450
_cell_angle_alpha 90.00
_cell_angle_beta 90.00
_cell_angle_gamma 90.00
loop_
_atom_site_label
_atom_site_fract_x
_atom_site_fract_y
_atom_site_fract_z
Ba1 0.0000 0.0000 0.2209
Tl1 0.5000 0.5000 0.5000
Tc1 0.5000 0.5000 0.0000
```

No. 2
A plane-wave DFT calculation with GGA-PBE was carried out for an optimized crystal structure of PmCd8.

Summary:
Formation energy from the elements: -1.279 eV per formula unit
M_tot: 0.00 μB/f.u.
DFT total energy: -1.483 eV per atom

CIF file:
```
data_PmCd8
_symmetry_space_group_name_H-M 'C 1 2/m 1'
_symmetry_Int_Tables_number 12
_symmetry_space_group_name_Hall '-C 2y'
_cell_length_a 10.5888
_cell_length_b 9.5323
_cell_length_c 4.6543
_cell_angle_alpha 90.00
_cell_angle_beta 116.00
_cell_angle_gamma 90.00
loop_
_atom_site_label
_atom_site_fract_x
_atom_site_fract_y
_atom_site_fract_z
Pm1 0.0000 0.0000 0.0000
Cd1 0.0000 0.3398 0.0000
Cd2 0.1600 0.5000 0.6623
Cd3 0.1728 0.1727 0.6718
```

No. 3
A plane-wave DFT calculation with GGA-PBE was carried out for an optimized crystal structure of PdRu2C.

Summary:
Formation energy from the elements: 1.749 eV per formula unit
M_tot: 0.00 μB/f.u.
DFT total energy: -7.805 eV per atom

CIF file:
```
data_PdRu2C
_symmetry_space_group_name_H-M 'I -4 2 d'
_symmetry_Int_Tables_number 122
_symmetry_space_group_name_Hall 'I -4 2bw'
_cell_length_a 6.4032
_cell_length_b 6.4032
_cell_length_c 5.0473
_cell_angle_alpha 90.00
_cell_angle_beta 90.00
_cell_angle_gamma 90.00
loop_
_atom_site_label
_atom_site_fract_x
_atom_site_fract_y
_atom_site_fract_z
Pd1 0.0000 0.0000 0.0000
Ru1 0.1592 0.2500 0.6250
C1 0.0000 0.0000 0.5000
```

No. 4
A plane-wave DFT calculation with GGA-PBE was carried out for an optimized crystal structure of BeFe2Os.

Summary:
Formation energy from the elements: -0.144 eV per formula unit
M_tot: 2.72 μB/f.u.
DFT total energy: -8.006 eV per atom

CIF file:
```
data_BeFe2Os
_symmetry_space_group_name_H-M 'I m m m'
_symmetry_Int_Tables_number 71
_symmetry_space_group_name_Hall '-I 2 2'
_cell_length_a 2.8801
_cell_length_b 3.8171
_cell_length_c 7.9415
_cell_angle_alpha 90.00
_cell_angle_beta 90.00
_cell_angle_gamma 90.00
loop_
_atom_site_label
_atom_site_fract_x
_atom_site_fract_y
_atom_site_fract_z
Be1 0.0000 0.0000 0.0000
Fe1 0.0000 0.5000 0.2618
Os1 0.0000 0.0000 0.5000
```

No. 5
A plane-wave DFT calculation with GGA-PBE was carried out for an optimized crystal structure of AlTc2Ni.

Summary:
Formation energy from the elements: -0.648 eV per formula unit
M_tot: 0.00 μB/f.u.
DFT total energy: -7.726 eV per atom

CIF file:
```
data_AlTc2Ni
_symmetry_space_group_name_H-M 'C 1 m 1'
_symmetry_Int_Tables_number 8
_symmetry_space_group_name_Hall 'C -2y'
_cell_length_a 8.7178
_cell_length_b 2.7403
_cell_length_c 4.6365
_cell_angle_alpha 90.00
_cell_angle_beta 99.16
_cell_angle_gamma 90.00
loop_
_atom_site_label
_atom_site_fract_x
_atom_site_fract_y
_atom_site_fract_z
Al1 0.0000 0.0000 0.0000
Tc1 0.2437 0.0000 0.6999
Tc2 0.4866 0.0000 0.4877
Ni1 0.2423 0.5000 0.1928
```

No. 6
A plane-wave DFT calculation with GGA-PBE was carried out for an optimized crystal structure of PmPd4Pb.

Summary:
Formation energy from the elements: -3.346 eV per formula unit
M_tot: 0.00 μB/f.u.
DFT total energy: -5.429 eV per atom

CIF file:
```
data_PmPd4Pb
_symmetry_space_group_name_H-M 'F -4 3 m'
_symmetry_Int_Tables_number 216
_symmetry_space_group_name_Hall 'F -4 2 3'
_cell_length_a 7.7402
_cell_length_b 7.7402
_cell_length_c 7.7402
_cell_angle_alpha 90.00
_cell_angle_beta 90.00
_cell_angle_gamma 90.00
loop_
_atom_site_label
_atom_site_fract_x
_atom_site_fract_y
_atom_site_fract_z
Pm1 0.0000 0.0000 0.0000
Pd1 0.1249 0.1249 0.3751
Pb1 0.2500 0.2500 0.7500
```

Calculated volume, 33.75, 23.46, 12.93, 10.91, 13.67, 19.32 A^3/atom (same order as the records).
Calculated calculated density, 7.10, 8.21, 10.29, 11.83, 8.55, 11.14 Mg/m³ (same order as the records).
Calculated N(E_F), 1.44, 0.22, 0.74, 0.97, 0.96, 0.77 states/eV/atom (same order as the records).